VASP calculation (GGA-PBE) on an optimized crystal structure of Na2Y2In.

Calculated values
Formation enthalpy at 0 K, eV per atom: 0.13
Energy above the lowest structure with this stoichiometry, meV per atom: 0.0
Mass density, g/cm3: 3.6

The structure in CIF format:
```
data_Na2Y2In
_chemical_formula_sum 'Na4 Y4 In2'
_cell_length_a 3.990
_cell_length_b 3.990
_cell_length_c 19.590
_cell_angle_alpha 90.00
_cell_angle_beta 90.00
_cell_angle_gamma 90.00
_symmetry_space_group_name_H-M 'P 1'
_symmetry_Int_Tables_number 1
_symmetry_space_group_name_Hall 'P 1'
loop_
_atom_site_label
_atom_site_fract_x
_atom_site_fract_y
_atom_site_fract_z
Na1 0.000 0.500 0.250
Na2 0.000 0.500 0.750
Na3 0.500 0.000 0.250
Na4 0.500 0.000 0.750
Y1 0.000 0.000 0.086
Y2 0.000 0.000 0.914
Y3 0.500 0.500 0.414
Y4 0.500 0.500 0.586
In1 0.000 0.000 0.500
In2 0.500 0.500 0.000
```

=====

VASP calculation (GGA-PBE) on an optimized crystal structure of PRu.

Calculated values
Formation enthalpy at 0 K, eV per atom: -0.13
Energy above the lowest structure with this stoichiometry, meV per atom: 428.5
Mass density, g/cm3: 7.1

The structure in CIF format:
```
data_PRu
_chemical_formula_sum 'P2 Ru2'
_cell_length_a 2.864
_cell_length_b 2.864
_cell_length_c 7.525
_cell_angle_alpha 90.00
_cell_angle_beta 90.00
_cell_angle_gamma 90.00
_symmetry_space_group_name_H-M 'P 1'
_symmetry_Int_Tables_number 1
_symmetry_space_group_name_Hall 'P 1'
loop_
_atom_site_label
_atom_site_fract_x
_atom_site_fract_y
_atom_site_fract_z
P1 0.250 0.250 0.193
P2 0.750 0.750 0.807
Ru1 0.250 0.250 0.634
Ru2 0.750 0.750 0.366
```

=====

VASP calculation (GGA-PBE) on an optimized crystal structure of LaCrIn2H.

Calculated values
Calculated total energy, eV per formula unit: -22.70
Mass density, g/cm3: 6.3

The structure in CIF format:
```
data_LaCrIn2H
_chemical_formula_sum 'La1 Cr1 In2 H1'
_cell_length_a 5.590
_cell_length_b 5.590
_cell_length_c 3.580
_cell_angle_alpha 90.00
_cell_angle_beta 90.00
_cell_angle_gamma 90.00
_symmetry_space_group_name_H-M 'P 1'
_symmetry_Int_Tables_number 1
_symmetry_space_group_name_Hall 'P 1'
loop_
_atom_site_label
_atom_site_fract_x
_atom_site_fract_y
_atom_site_fract_z
La1 0.000 0.000 0.000
Cr1 0.500 0.500 0.500
In1 0.000 0.500 0.500
In2 0.500 0.000 0.500
H1 0.500 0.500 0.000
```

=====

Across the entries above, size of the total moment takes the values 1.297, 0.000, 2.907 Bohr magnetons per cell, respectively.